(w)
The following is a PBE calculation of LiTaCuSi after structural relaxation, from the Open Quantum Materials Database.

**Mass density**: 8.60 g/cm³

Lattice parameters (Å, degrees): 4.2422 4.2422 4.2422 60.00 60.00 60.00
With the nearest neighbours (Å) after each atom.
Fractional positions:
Cu1 0.7500 0.7500 0.7500  4 Li 2.60, 4 Si 2.60
Li1 0.5000 0.5000 0.5000  4 Cu 2.60, 4 Ta 2.60
Si1 0.0000 0.0000 0.0000  4 Cu 2.60, 4 Ta 2.60
Ta1 0.2500 0.2500 0.2500  4 Li 2.60, 4 Si 2.60

(x)
The following is a PBE calculation of LiTaCuSi after structural relaxation, from the Open Quantum Materials Database.

**Mass density**: 8.67 g/cm³

Lattice parameters (Å, degrees): 4.2311 4.2311 4.2311 60.00 60.00 60.00
With the nearest neighbours (Å) after each atom.
Fractional positions:
Cu1 0.7500 0.7500 0.7500  4 Si 2.59, 4 Ta 2.59
Li1 0.2500 0.2500 0.2500  4 Ta 2.59, 4 Si 2.59
Si1 0.0000 0.0000 0.0000  4 Cu 2.59, 4 Li 2.59
Ta1 0.5000 0.5000 0.5000  4 Li 2.59, 4 Cu 2.59

Which structure is most stable, and how do the rest compare? From most to least stable: (w), (x).

(w)
The following is a PBE calculation of LiYCuSi after structural relaxation, from the Open Quantum Materials Database.

**Mass density**: 4.70 g/cm³

Lattice parameters (Å, degrees): 4.5428 4.5428 4.5428 60.00 60.00 60.00
With the nearest neighbours (Å) after each atom.
Fractional positions:
Cu1 0.7500 0.7500 0.7500  4 Li 2.78, 4 Si 2.78
Li1 0.5000 0.5000 0.5000  4 Cu 2.78, 4 Y 2.78
Si1 0.0000 0.0000 0.0000  4 Cu 2.78, 4 Y 2.78
Y1 0.2500 0.2500 0.2500  4 Li 2.78, 4 Si 2.78

(x)
The following is a PBE calculation of LiYCuSi after structural relaxation, from the Open Quantum Materials Database.

**Mass density**: 4.90 g/cm³

Lattice parameters (Å, degrees): 4.4789 4.4789 4.4789 60.00 60.00 60.00
With the nearest neighbours (Å) after each atom.
Fractional positions:
Cu1 0.7500 0.7500 0.7500  4 Y 2.74, 4 Si 2.74
Li1 0.2500 0.2500 0.2500  4 Si 2.74, 4 Y 2.74
Si1 0.0000 0.0000 0.0000  4 Cu 2.74, 4 Li 2.74
Y1 0.5000 0.5000 0.5000  4 Cu 2.74, 4 Li 2.74

Which structure is most stable, and how do the rest compare? From most to least stable: (x), (w).

(w)
The following is a PBE calculation of LiCuTcSn after structural relaxation, from the Open Quantum Materials Database.

**Mass density**: 8.19 g/cm³

Lattice parameters (Å, degrees): 4.3507 4.3507 4.3507 60.00 60.00 60.00
With the nearest neighbours (Å) after each atom.
Fractional positions:
Cu1 0.7500 0.7500 0.7500  4 Tc 2.66, 4 Sn 2.66
Li1 0.2500 0.2500 0.2500  4 Sn 2.66, 4 Tc 2.66
Sn1 0.0000 0.0000 0.0000  4 Li 2.66, 4 Cu 2.66
Tc1 0.5000 0.5000 0.5000  4 Cu 2.66, 4 Li 2.66

(x)
The following is a PBE calculation of LiCuTcSn after structural relaxation, from the Open Quantum Materials Database.

**Mass density**: 7.91 g/cm³

Lattice parameters (Å, degrees): 4.4009 4.4009 4.4009 60.00 60.00 60.00
With the nearest neighbours (Å) after each atom.
Fractional positions:
Cu1 0.7500 0.7500 0.7500  4 Sn 2.69, 4 Li 2.69
Li1 0.5000 0.5000 0.5000  4 Tc 2.69, 4 Cu 2.69
Sn1 0.0000 0.0000 0.0000  4 Tc 2.69, 4 Cu 2.69
Tc1 0.2500 0.2500 0.2500  4 Sn 2.69, 4 Li 2.69

Which structure is most stable, and how do the rest compare? From most to least stable: (x), (w).

(w)
The following is a PBE calculation of LiTbCu3Te4 after structural relaxation, from the Open Quantum Materials Database.

**Mass density**: 5.90 g/cm³

Lattice parameters (Å, degrees): 6.2478 6.2478 6.2478 90.00 90.00 90.00
With the nearest neighbours (Å) after each atom.
Fractional positions:
Cu1 0.5000 0.5000 0.0000  4 Te 2.75
Cu2 0.5000 0.0000 0.5000  4 Te 2.75
Cu3 0.0000 0.5000 0.5000  4 Te 2.75
Li1 0.0000 0.0000 0.0000  4 Te 2.59
Tb1 0.5000 0.5000 0.5000  4 Te 2.82, 6 Cu 3.12
Te1 0.2391 0.2391 0.2391  1 Li 2.59, 3 Cu 2.75, 1 Tb 2.82
Te2 0.7609 0.7609 0.2391  1 Li 2.59, 3 Cu 2.75, 1 Tb 2.82
Te3 0.7609 0.2391 0.7609  1 Li 2.59, 3 Cu 2.75, 1 Tb 2.82
Te4 0.2391 0.7609 0.7609  1 Li 2.59, 3 Cu 2.75, 1 Tb 2.82

(x)
The following is a PBE calculation of LiTbCu3Te4 after structural relaxation, from the Open Quantum Materials Database.

**Mass density**: 6.06 g/cm³

Lattice parameters (Å, degrees): 6.1816 8.1554 9.6008 90.00 101.04 90.00
With the nearest neighbours (Å) after each atom.
Fractional positions:
Cu1 0.2264 0.7500 0.2451  3 Te 2.55-2.56, 2 Cu 2.67
Cu2 0.3061 0.5787 0.4864  3 Te 2.58-2.69, 3 Cu 2.67-2.79
Cu3 0.3061 0.9213 0.4864  3 Te 2.58-2.69, 3 Cu 2.67-2.79
Cu4 0.6939 0.0787 0.5136  3 Te 2.58-2.69, 3 Cu 2.67-2.79
Cu5 0.6939 0.4213 0.5136  3 Te 2.58-2.69, 3 Cu 2.67-2.79
Cu6 0.7736 0.2500 0.7549  3 Te 2.55-2.56, 2 Cu 2.67
Li1 0.7533 0.2500 0.0949  2 Te 2.75-2.94
Li2 0.2467 0.7500 0.9051  2 Te 2.75-2.94
Tb1 0.7583 0.7500 0.3140  4 Te 2.90-2.99, 2 Cu 3.09-3.23
Tb2 0.2417 0.2500 0.6860  4 Te 2.90-2.99, 2 Cu 3.09-3.23
Te1 0.8945 0.7500 0.0414  1 Cu 2.55, 1 Li 2.75
Te2 0.4313 0.0239 0.2600  3 Cu 2.56-2.69
Te3 0.4313 0.4761 0.2600  3 Cu 2.56-2.69
Te4 0.9655 0.2500 0.3967  2 Cu 2.60
Te5 0.0345 0.7500 0.6033  2 Cu 2.60
Te6 0.5687 0.5239 0.7400  3 Cu 2.56-2.69
Te7 0.5687 0.9761 0.7400  3 Cu 2.56-2.69
Te8 0.1055 0.2500 0.9586  1 Cu 2.55, 1 Li 2.75

Which structure is most stable, and how do the rest compare? From most to least stable: (w), (x).

(w)
The following is a PBE calculation of LiCuTcTe3 after structural relaxation, from the Open Quantum Materials Database.

**Mass density**: 6.81 g/cm³

Lattice parameters (Å, degrees): 7.7061 3.8043 9.5900 90.00 107.12 90.00
With the nearest neighbours (Å) after each atom.
Fractional positions:
Cu1 0.4188 0.7500 0.3989  4 Te 2.54-2.67, 2 Cu 2.74
Cu2 0.5812 0.2500 0.6011  4 Te 2.54-2.67, 2 Cu 2.74
Li1 0.7778 0.2500 0.2963  4 Te 2.93-3.00
Li2 0.2222 0.7500 0.7037  4 Te 2.93-3.00
Tc1 0.1955 0.2500 0.1823  6 Te 2.71-2.78, 2 Cu 2.96
Tc2 0.8045 0.7500 0.8177  6 Te 2.71-2.78, 2 Cu 2.96
Te1 0.9292 0.7500 0.1206  3 Tc 2.73-2.78, 2 Li 3.00
Te2 0.4244 0.7500 0.1359  1 Cu 2.54, 2 Tc 2.72
Te3 0.2238 0.2500 0.4710  3 Cu 2.64-2.67, 1 Tc 2.71, 2 Li 2.93
Te4 0.7762 0.7500 0.5290  3 Cu 2.64-2.67, 1 Tc 2.71, 2 Li 2.93
Te5 0.5756 0.2500 0.8641  1 Cu 2.54, 2 Tc 2.72
Te6 0.0708 0.2500 0.8794  3 Tc 2.73-2.78, 2 Li 3.00

(x)
The following is a PBE calculation of LiCuTcTe3 after structural relaxation, from the Open Quantum Materials Database.

**Mass density**: 7.16 g/cm³

Lattice parameters (Å, degrees): 7.1332 7.1332 10.1652 90.00 90.00 29.63
With the nearest neighbours (Å) after each atom.
Fractional positions:
Cu1 0.5386 0.5386 0.2500  4 Te 2.54-2.58
Cu2 0.4614 0.4614 0.7500  4 Te 2.54-2.58
Li1 0.2280 0.2280 0.2500  6 Te 3.00-3.06, 2 Cu 3.19
Li2 0.7720 0.7720 0.7500  6 Te 3.00-3.06, 2 Cu 3.19
Tc1 0.0000 0.0000 0.0000  6 Te 2.74-2.85
Tc2 0.0000 0.0000 0.5000  6 Te 2.74-2.85
Te1 0.6440 0.6440 0.0456  1 Cu 2.54, 2 Tc 2.74
Te2 0.9064 0.9064 0.2500  2 Cu 2.58, 2 Tc 2.85
Te3 0.6440 0.6440 0.4544  1 Cu 2.54, 2 Tc 2.74
Te4 0.3560 0.3560 0.5456  1 Cu 2.54, 2 Tc 2.74
Te5 0.0936 0.0936 0.7500  2 Cu 2.58, 2 Tc 2.85
Te6 0.3560 0.3560 0.9544  1 Cu 2.54, 2 Tc 2.74

Which structure is most stable, and how do the rest compare? From most to least stable: (w), (x).